{"formula": "LaInPbAu2", "functional": "GGA-PBEsol", "state": "relaxed", "lattice_angstrom": [[5.200, 0.000, 0.000], [0.000, 5.200, 0.000], [0.000, 0.000, 5.524]], "species": ["In", "Pb", "La", "Au", "Au"], "frac_coords": [[0.000, 0.000, 0.500], [0.000, 0.000, 0.000], [0.500, 0.500, 0.500], [0.500, 0.000, 0.000], [0.000, 0.500, 0.000]], "ef_ev_per_atom": 0.262, "dos_at_fermi_per_ev_atom": 0.76}

{"formula": "InPt2Cl", "functional": "GGA-PBEsol", "state": "relaxed", "lattice_angstrom": [[3.126, 0.000, 0.000], [0.000, 3.508, 0.000], [0.000, 0.000, 6.358]], "species": ["Pt", "In", "Pt", "Cl"], "frac_coords": [[0.000, 0.000, 0.722], [0.500, 0.500, 0.500], [0.000, 0.000, 0.278], [0.500, 0.500, 0.000]], "formation_energy_uncorrected_ev_per_atom": 0.04, "e_above_lowest_polymorph_ev_per_fu": 0.00, "dos_at_fermi_per_ev_atom": 0.22}

{"formula": "CaSc3Sb", "functional": "GGA-PBEsol", "state": "relaxed", "lattice_angstrom": [[5.018, 0.000, 0.000], [0.000, 5.018, 0.000], [0.000, 0.000, 5.018]], "species": ["Sc", "Ca", "Sc", "Sc", "Sb"], "frac_coords": [[0.500, 0.000, 0.000], [0.000, 0.000, 0.000], [0.000, 0.500, 0.000], [0.000, 0.000, 0.500], [0.500, 0.500, 0.500]], "formation_energy_uncorrected_ev_per_atom": 0.93, "dos_at_fermi_per_ev_atom": 0.98}

{"formula": "LaRe2Hg", "functional": "GGA-PBEsol", "state": "relaxed", "lattice_angstrom": [[2.899, 0.002, 0.000], [-0.326, 5.267, 0.000], [-1.287, -2.635, 4.904]], "species": ["La", "Re", "Re", "Hg"], "frac_coords": [[0.000, 0.500, 0.000], [0.000, 0.000, 0.500], [0.500, 0.500, 0.500], [0.500, 0.000, 0.000]], "ef_ev_per_atom": 0.774, "e_above_lowest_polymorph_ev_per_fu": 0.00, "dos_at_fermi_per_ev_atom": 1.22}

{"formula": "ZrSbOs", "functional": "GGA-PBEsol", "state": "relaxed", "lattice_angstrom": [[3.170, 0.000, 0.000], [0.000, 3.170, 0.000], [-1.585, -1.585, 5.506]], "species": ["Os", "Sb", "Zr"], "frac_coords": [[0.995, 0.995, 0.989], [0.350, 0.350, 0.699], [0.656, 0.656, 0.311]], "formation_energy_uncorrected_ev_per_atom": -0.13, "dos_at_fermi_per_ev_atom": 0.95}

{"formula": "Cd2MoPdI", "functional": "GGA-PBEsol", "state": "relaxed", "lattice_angstrom": [[-0.844, -4.144, -2.807], [4.173, 0.989, -2.715], [2.916, -2.912, 3.422]], "species": ["Cd", "Mo", "Cd", "I", "Pd"], "frac_coords": [[0.000, 0.500, 0.000], [0.500, 0.500, 0.500], [0.500, 0.000, 0.000], [0.000, 0.000, 0.500], [0.000, 0.000, 0.000]], "formation_energy_uncorrected_ev_per_atom": 1.07, "dos_at_fermi_per_ev_atom": 0.47}

{"formula": "MnV2Si6", "functional": "GGA-PBEsol", "state": "relaxed", "lattice_angstrom": [[-3.294, -1.347, -2.630], [3.566, -2.611, 0.595], [-2.827, -2.734, 4.940]], "species": ["Si", "V", "Si", "Si", "Si", "Si", "V", "Mn", "Si"], "frac_coords": [[0.835, 0.670, 0.000], [0.500, 0.500, 0.330], [0.165, 0.330, 0.000], [0.834, 0.164, 0.332], [0.330, 0.164, 0.668], [0.670, 0.836, 0.668], [0.000, 0.500, 0.670], [0.500, 0.000, 0.000], [0.166, 0.836, 0.332]], "formation_energy_uncorrected_ev_per_atom": -0.54, "dos_at_fermi_per_ev_atom": 0.55}

{"formula": "ZnReSb4", "functional": "GGA-PBEsol", "state": "relaxed", "lattice_angstrom": [[-1.329, -3.488, 4.689], [-2.542, -5.356, -0.875], [3.140, -5.006, 0.996]], "species": ["Sb", "Sb", "Sb", "Zn", "Sb", "Re"], "frac_coords": [[0.375, 0.375, 0.875], [0.375, 0.875, 0.375], [0.875, 0.375, 0.375], [0.750, 0.750, 0.750], [0.375, 0.375, 0.375], [0.000, 0.000, 0.000]], "formation_energy_uncorrected_ev_per_atom": 1.28, "dos_at_fermi_per_ev_atom": 0.92}